## AlSnNF2 (PBE)

Data for AlSnNF2 after structural relaxation.

The energy relative to the lowest polymorph listed for this composition comes out at 0.0 kJ per mole of atoms. The uncorrected formation energy is -722.6 kJ/mol of formula units. The space group is P4/mmm (123). The calculation puts the density at 5.4 Mg/m³. Its total moment is 0.000 μB/atom.

a = 3.9439 Å, b = 3.9439 Å, c = 3.8862 Å
α = 90.00°, β = 90.00°, γ = 90.00°
Fractional coordinates of all 5 atoms:
N (0.0000, 0.0000, 0.5000)
Sn (0.5000, 0.5000, 0.5000)
F (0.0000, 0.5000, 0.0000)
F (0.5000, 0.0000, 0.0000)
Al (0.0000, 0.0000, 0.0000)